Model one:
Compound: CsAg2Pb2
Source: the Alexandria database
Functional: GGA-PBE
Structure: optimized geometry

Unit cell a=5.2446 b=5.2446 c=7.0181 alpha=68.06 beta=68.06 gamma=90.00
Positions (direct):
Ag1 0.7500 0.2500 0.5000
Ag2 0.2500 0.7500 0.5000
Pb1 0.6395 0.6395 0.7210
Pb2 0.3605 0.3605 0.2790
Cs1 0.0000 0.0000 0.0000

Output
For the density of states at the Fermi level, the calculation gives 3.4 states/eV/cell. The total magnetization is 0.0 μB/f.u.


Model two:
Compound: CsAg2Pb2
Source: the Alexandria database
Functional: GGA-PBE
Structure: optimized geometry

Unit cell a=9.4105 b=9.4105 c=3.3699 alpha=90.00 beta=90.00 gamma=90.00
Positions (direct):
Pb1 0.6455 0.8545 0.5000
Pb2 0.1455 0.6455 0.5000
Pb3 0.3545 0.1455 0.5000
Pb4 0.8545 0.3545 0.5000
Cs1 0.5000 0.5000 0.0000
Cs2 0.0000 0.0000 0.0000
Ag1 0.1352 0.3648 0.0000
Ag2 0.6352 0.1352 0.0000
Ag3 0.3648 0.8648 0.0000
Ag4 0.8648 0.6352 0.0000

Output
For the density of states at the Fermi level, the calculation gives 3.8 states/eV/cell. The total magnetization is 0.0 μB/f.u.


From most stable to least stable, the computed energies give model one, model two.